DFT (GGA-PBEsol) results for a geometry-optimized Rb2CoO3 structure.

a b c (Å): 5.738 11.687 12.962
angles (deg): 90.00 90.00 90.00
Space group Cmce (No. 64)
One atom of each set of equivalent atoms:
1 Rb 0.000 0.060 0.138 [8 per cell]
2 Rb 0.000 0.137 0.576 [8 per cell]
3 Co 0.000 0.240 0.328 [8 per cell]
4 O 0.000 0.097 0.361 [8 per cell]
5 O 0.000 0.171 0.933 [8 per cell]
6 O 0.250 0.235 0.750 [8 per cell]

Energy above the lowest structure with this stoichiometry = 11 meV/atom
Total magnetic moment = 10.80 Bohr magnetons per cell
DOS at the Fermi energy = 25.9 states/eV/cell
Energy relative to the elements, uncorrected = -1205 meV per atom
Crystal system = orthorhombic
Raw total energy = -5.461 eV per atom